[1]
DFT (PBE) results for an optimized crystal structure of TlPb3Cl7.

Geometry as CIF:
```
data_TlPb3Cl7
_chemical_formula_sum 'Tl1 Pb3 Cl7'
_cell_length_a 7.1470
_cell_length_b 7.1470
_cell_length_c 7.4778
_cell_angle_alpha 104.95
_cell_angle_beta 104.95
_cell_angle_gamma 96.57
_space_group_name_H-M_alt 'P 1'
_space_group_IT_number 1
_space_group_name_Hall 'P 1'
loop_
_atom_site_label
_atom_site_fract_x
_atom_site_fract_y
_atom_site_fract_z
_atom_site_occupancy
Tl1 0.0000 0.0000 0.0000 1
Pb1 0.2687 0.7313 0.5000 1
Pb2 0.5000 0.5000 0.0000 1
Pb3 0.7313 0.2687 0.5000 1
Cl1 0.0000 0.0000 0.5000 1
Cl2 0.1225 0.5481 0.7648 1
Cl3 0.3513 0.3513 0.2681 1
Cl4 0.4519 0.8775 0.2352 1
Cl5 0.5481 0.1225 0.7648 1
Cl6 0.6487 0.6487 0.7319 1
Cl7 0.8775 0.4519 0.2352 1
```

The value obtained for the volume is 349.79 Å³ per cell. For the density of states at the Fermi level, the calculation gives 0.00 states/eV/cell. As for the calculated density: 5.1 g/cm3. Its uncorrected formation energy is -12.2 eV per formula unit.

[2]
DFT (PBE) results for an optimized crystal structure of NaAcBr2.

Geometry as CIF:
```
data_NaAcBr2
_chemical_formula_sum 'Na1 Ac1 Br2'
_cell_length_a 10.7546
_cell_length_b 10.7546
_cell_length_c 10.7546
_cell_angle_alpha 21.55
_cell_angle_beta 21.55
_cell_angle_gamma 21.55
_space_group_name_H-M_alt 'P 1'
_space_group_IT_number 1
_space_group_name_Hall 'P 1'
loop_
_atom_site_label
_atom_site_fract_x
_atom_site_fract_y
_atom_site_fract_z
_atom_site_occupancy
Na1 0.0000 0.0000 0.0000 1
Ac1 0.5000 0.5000 0.5000 1
Br1 0.0953 0.0953 0.0953 1
Br2 0.9047 0.9047 0.9047 1
```

The value obtained for the volume is 147.09 Å³ per cell. For the density of states at the Fermi level, the calculation gives 1.96 states/eV/cell. As for the calculated density: 4.6 g/cm3. Its uncorrected formation energy is -4.9 eV per formula unit.

[3]
DFT (PBE) results for an optimized crystal structure of ZnCd2Ga2.

Geometry as CIF:
```
data_ZnCd2Ga2
_chemical_formula_sum 'Zn1 Cd2 Ga2'
_cell_length_a 8.1213
_cell_length_b 8.1213
_cell_length_c 8.1213
_cell_angle_alpha 153.26
_cell_angle_beta 153.26
_cell_angle_gamma 38.17
_space_group_name_H-M_alt 'P 1'
_space_group_IT_number 1
_space_group_name_Hall 'P 1'
loop_
_atom_site_label
_atom_site_fract_x
_atom_site_fract_y
_atom_site_fract_z
_atom_site_occupancy
Zn1 0.0000 0.0000 0.0000 1
Cd1 0.4048 0.4048 0.0000 1
Cd2 0.5952 0.5952 0.0000 1
Ga1 0.2500 0.7500 0.5000 1
Ga2 0.7500 0.2500 0.5000 1
```

The value obtained for the volume is 108.23 Å³ per cell. For the density of states at the Fermi level, the calculation gives 2.17 states/eV/cell. As for the calculated density: 6.6 g/cm3. The distance to the lowest polymorph of the same formula is 109 meV per atom. The value obtained for the formation energy is 0.15 eV/atom.

[4]
DFT (PBE) results for an optimized crystal structure of Ta2AsPb2.

Geometry as CIF:
```
data_Ta2AsPb2
_chemical_formula_sum 'Ta2 As1 Pb2'
_cell_length_a 9.2575
_cell_length_b 9.2575
_cell_length_c 9.2575
_cell_angle_alpha 156.71
_cell_angle_beta 156.71
_cell_angle_gamma 33.17
_space_group_name_H-M_alt 'P 1'
_space_group_IT_number 1
_space_group_name_Hall 'P 1'
loop_
_atom_site_label
_atom_site_fract_x
_atom_site_fract_y
_atom_site_fract_z
_atom_site_occupancy
Ta1 0.2500 0.7500 0.5000 1
Ta2 0.7500 0.2500 0.5000 1
As1 0.0000 0.0000 0.0000 1
Pb1 0.3995 0.3995 0.0000 1
Pb2 0.6005 0.6005 0.0000 1
```

The value obtained for the volume is 123.93 Å³ per cell. For the density of states at the Fermi level, the calculation gives 6.27 states/eV/cell. As for the calculated density: 11.4 g/cm3. The distance to the lowest polymorph of the same formula is 0 meV per atom. The value obtained for the formation energy is 0.76 eV/atom.